# Ta2Be9W

A geometry-optimized Ta2Be9W structure (PBE, Alexandria via LeMat-Bulk).

Total magnetization = 0.0 μB/f.u.
Symmetry = R-3m (166)
Formation energy = -212 meV per atom
Density = 8.5 g/cm³
Total DFT energy (no corrections) = -6.06 eV per atom

abc: 4.508 4.508 7.427
angles: 72.33 72.33 60.00
Positions (direct):
1 Ta 0.140 0.140 0.579
2 Ta 0.860 0.860 0.421
3 Be 0.583 0.583 0.760
4 Be 0.417 0.417 0.240
5 Be 0.583 0.075 0.760
6 Be 0.075 0.583 0.760
7 Be 0.417 0.925 0.240
8 Be 0.925 0.417 0.240
9 Be 0.500 0.500 0.500
10 Be 0.666 0.666 0.003
11 Be 0.334 0.334 0.997
12 W 0.000 0.000 0.000